No. 1
# NbPNCl2 PBE relaxed
# crystal system	tetragonal
# formation energy (no corrections)	3.482	eV per formula unit
data_NbPNCl2
_chemical_formula_sum 'Nb1 P1 N1 Cl2'
_symmetry_space_group_name_H-M 'P 4/m m m'
_symmetry_Int_Tables_number 123
_symmetry_space_group_name_Hall '-P 4 2'
_cell_length_a 4.939
_cell_length_b 4.939
_cell_length_c 4.865
_cell_angle_alpha 90.00
_cell_angle_beta 90.00
_cell_angle_gamma 90.00
loop_
_atom_site_label
_atom_site_type_symbol
_atom_site_fract_x
_atom_site_fract_y
_atom_site_fract_z
_atom_site_occupancy
Nb1 Nb 0.000 0.000 0.000 1
P1 P 0.000 0.000 0.500 1
N1 N 0.500 0.500 0.500 1
Cl1 Cl 0.000 0.500 0.000 1

No. 2
# CaCrIn2 PBE relaxed
# ΔE_f	0.164	eV per atom
# crystal system	tetragonal
data_CaCrIn2
_chemical_formula_sum 'Ca1 Cr1 In2'
_symmetry_space_group_name_H-M 'P 4 m m'
_symmetry_Int_Tables_number 99
_symmetry_space_group_name_Hall 'P 4 -2'
_cell_length_a 3.784
_cell_length_b 3.784
_cell_length_c 7.103
_cell_angle_alpha 90.00
_cell_angle_beta 90.00
_cell_angle_gamma 90.00
loop_
_atom_site_label
_atom_site_type_symbol
_atom_site_fract_x
_atom_site_fract_y
_atom_site_fract_z
_atom_site_occupancy
Ca1 Ca 0.000 0.000 0.000 1
Cr1 Cr 0.500 0.500 0.291 1
In1 In 0.000 0.000 0.468 1
In2 In 0.500 0.500 0.717 1

No. 3
# Pm3PuPa3N8 PBE relaxed
# crystal system	trigonal
# formation energy (no corrections)	-21.026	eV per formula unit
data_Pm3PuPa3N8
_chemical_formula_sum 'Pm9 Pu3 Pa9 N24'
_symmetry_space_group_name_H-M 'R -3 m'
_symmetry_Int_Tables_number 166
_symmetry_space_group_name_Hall '-R 3 2"'
_cell_length_a 7.0830
_cell_length_b 7.0830
_cell_length_c 17.2165
_cell_angle_alpha 90.00
_cell_angle_beta 90.00
_cell_angle_gamma 120.00
loop_
_atom_site_label
_atom_site_type_symbol
_atom_site_fract_x
_atom_site_fract_y
_atom_site_fract_z
_atom_site_occupancy
Pm1 Pm 0.0000 0.5000 0.0000 1
Pu1 Pu 0.0000 0.0000 0.5000 1
Pa1 Pa 0.0000 0.5000 0.5000 1
N1 N 0.0000 0.0000 0.2409 1
N2 N 0.0061 0.5030 0.2335 1